1.
A plane-wave DFT calculation with PBE was carried out for a geometry-optimized TaNi6Pt3 structure.

Summary:
- DFT formation energy: -0.16 eV per atom
- Space group: P2_1/m (11)
- Electronic total energy: -66.29 eV/f.u.

Lattice parameters (Å, degrees): 3.802 8.189 8.417 92.39 90.00 90.00
Site moments in Bohr magnetons follow the coordinates.
Fractional positions:
Pt: 0.750 0.448 0.601  0.06
Pt: 0.750 0.656 0.197  0.10
Pt: 0.250 0.552 0.399  0.06
Pt: 0.250 0.753 0.990  0.13
Pt: 0.750 0.247 0.010  0.13
Pt: 0.250 0.344 0.803  0.10
Ni: 0.250 0.651 0.698  0.13
Ni: 0.250 0.239 0.499  0.01
Ni: 0.250 0.448 0.101  0.42
Ni: 0.750 0.349 0.302  0.13
Ni: 0.750 0.761 0.501  0.01
Ni: 0.750 0.848 0.794  0.07
Ni: 0.750 0.552 0.899  0.42
Ni: 0.750 0.139 0.694  0.00
Ni: 0.250 0.861 0.306  0.00
Ni: 0.250 0.048 0.905  0.14
Ni: 0.250 0.152 0.206  0.07
Ni: 0.750 0.952 0.095  0.14
Ta: 0.250 0.940 0.622  -0.02
Ta: 0.750 0.060 0.378  -0.02

---

2.
A plane-wave DFT calculation with PBE was carried out for a geometry-optimized Ta2NiPt2 structure.

Summary:
- Energy above the most stable polymorph in this dataset: 0 meV per atom
- DFT formation energy: -0.34 eV per atom
- Space group: Cmcm (63)
- Electronic total energy: -43.27 eV/f.u.

Lattice parameters (Å, degrees): 3.974 5.157 8.193 90.00 104.04 90.00
Fractional positions:
Ta: 0.840 0.977 0.680
Ta: 0.394 0.477 0.788
Ta: 0.160 0.477 0.320
Ta: 0.606 0.977 0.212
Pt: 0.000 0.227 0.000
Pt: 0.778 0.477 0.555
Pt: 0.000 0.727 0.000
Pt: 0.222 0.977 0.445
Ni: 0.432 0.977 0.865
Ni: 0.568 0.477 0.135

---

3.
A plane-wave DFT calculation with PBE was carried out for a geometry-optimized Ta3Ni2Pt3 structure.

Summary:
- DFT formation energy: -0.51 eV per atom
- Space group: Immm (71)
- Electronic total energy: -69.36 eV/f.u.

Lattice parameters (Å, degrees): 4.001 3.972 8.135 104.17 104.24 90.00
Fractional positions:
Ta: 0.000 0.000 0.000
Ta: 0.862 0.362 0.723
Ta: 0.138 0.638 0.277
Pt: 0.370 0.870 0.739
Pt: 0.500 0.500 0.000
Pt: 0.630 0.130 0.261
Ni: 0.750 0.749 0.499
Ni: 0.250 0.251 0.501

---

4.
A plane-wave DFT calculation with PBE was carried out for a geometry-optimized TaVNiPt structure.

Summary:
- DFT formation energy: -0.42 eV per atom
- Space group: Pmmm (47)
- Electronic total energy: -34.47 eV/f.u.

Lattice parameters (Å, degrees): 3.732 3.865 3.972 90.00 90.00 90.00
Fractional positions:
V: 0.500 0.000 0.500
Ni: 0.500 0.500 0.000
Ta: 0.000 0.500 0.500
Pt: 0.000 0.000 0.000